(1)
Material: LiHg2P2
Method: DFT, GGA-PBE
State: relaxed

Cell lengths 6.405, 6.405, 5.229 Å; angles 90.00, 90.00, 90.00 degrees
Element x y z (fractional)
Hg: 0.827 0.673 0.500
Hg: 0.173 0.327 0.500
Hg: 0.673 0.173 0.500
Hg: 0.327 0.827 0.500
Li: 0.500 0.500 0.000
Li: 0.000 0.000 0.000
P: 0.880 0.620 0.000
P: 0.620 0.120 0.000
P: 0.120 0.380 0.000
P: 0.380 0.880 0.000

Summary:
Energy above the lowest structure with this stoichiometry = 0 meV per atom
Magnetization = 0.000 μB per formula unit
E_tot = -2.662 eV/atom
Formation energy from the elements = 6 meV/atom
Crystal system = tetragonal
DOS(E_F) = 2.30 states/eV/f.u.

(2)
Material: LiHg2P
Method: DFT, GGA-PBE
State: relaxed

Cell lengths 5.477, 5.477, 5.477 Å; angles 135.79, 135.79, 64.30 degrees
Element x y z (fractional)
Hg: 0.000 0.000 0.000
Hg: 0.250 0.750 0.500
Li: 0.500 0.500 0.000
P: 0.750 0.250 0.500

Summary:
Magnetization = 0.000 μB per formula unit
E_tot = -1.933 eV/atom
Formation energy from the elements = 49 meV/atom
Crystal system = tetragonal
DOS(E_F) = 1.04 states/eV/f.u.

(3)
Material: LiHgP2
Method: DFT, GGA-PBE
State: relaxed

Cell lengths 4.940, 4.940, 5.619 Å; angles 83.86, 83.86, 38.67 degrees
Element x y z (fractional)
Hg: 0.750 0.750 0.750
P: 0.994 0.994 0.121
P: 0.506 0.506 0.379
Li: 0.250 0.250 0.250

Summary:
Magnetization = 0.000 μB per formula unit
E_tot = -3.389 eV/atom
Formation energy from the elements = -131 meV/atom
Crystal system = monoclinic
DOS(E_F) = 1.18 states/eV/f.u.

(4)
Material: LiHgP
Method: DFT, GGA-PBE
State: relaxed

Cell lengths 7.759, 7.543, 6.676 Å; angles 65.82, 62.47, 51.71 degrees
Element x y z (fractional)
Li: 0.364 0.364 0.636
Li: 0.114 0.114 0.386
Li: 0.386 0.386 0.114
Li: 0.636 0.636 0.364
P: 0.717 0.283 0.717
P: 0.283 0.717 0.283
P: 0.467 0.033 0.467
P: 0.033 0.467 0.033
Hg: 0.875 0.375 0.875
Hg: 0.375 0.875 0.875
Hg: 0.875 0.875 0.375
Hg: 0.875 0.875 0.875

Summary:
Magnetization = 0.000 μB per formula unit
E_tot = -2.822 eV/atom
Formation energy from the elements = -281 meV/atom
Crystal system = orthorhombic
DOS(E_F) = 0.00 states/eV/f.u.